Entry 1:
BO2F2 | PBE | optimized geometry

## Properties
symmetry: P4/mmm
excess energy over the best structure of this formula in the dataset: 3 meV per atom
formation energy (no corrections): -0.218 eV per atom

abc: 3.0288 3.0288 4.1091
angles: 90.00 90.00 90.00
With the nearest neighbours (Å) after each atom.
Positions (direct):
B (0.0000, 0.0000, 0.0000)  4 F 1.51
O (0.0000, 0.0000, 0.5000)  2 B 2.05, 4 O 2.14
O (0.5000, 0.5000, 0.5000)  4 O 2.14
F (0.0000, 0.5000, 0.0000)  2 B 1.51
F (0.5000, 0.0000, 0.0000)  2 B 1.51

Entry 2:
HgPdAu2C | PBE | optimized geometry

## Properties
E_form: 0.563 eV/atom
symmetry: P4/mmm

abc: 4.3538 4.3538 4.3447
angles: 90.00 90.00 90.00
With the nearest neighbours (Å) after each atom.
Positions (direct):
Hg (0.0000, 0.0000, 0.0000)  8 Au 3.08, 4 Pd 3.08
Pd (0.5000, 0.5000, 0.0000)  2 C 2.17
Au (0.0000, 0.5000, 0.5000)  2 C 2.18
Au (0.5000, 0.0000, 0.5000)  2 C 2.18
C (0.5000, 0.5000, 0.5000)  2 Pd 2.17, 4 Au 2.18

Entry 3:
RuW5 | PBE | optimized geometry

## Properties
E_form: 0.377 eV/atom
symmetry: P-62m
excess energy over the best structure of this formula in the dataset: 265 meV per atom

abc: 4.8341 4.8341 4.7426
angles: 90.00 90.00 120.00
With the nearest neighbours (Å) after each atom.
Positions (direct):
Ru (0.0000, 0.0000, 0.0000)  12 W 2.79-2.86
W (0.0000, 0.6691, 0.5000)  10 W 2.77-2.87, 2 Ru 2.86
W (0.3309, 0.3309, 0.5000)  10 W 2.77-2.87, 2 Ru 2.86
W (0.3333, 0.6667, 0.0000)  3 Ru 2.79, 9 W 2.79-2.87
W (0.6667, 0.3333, 0.0000)  3 Ru 2.79, 9 W 2.79-2.87
W (0.6691, 0.0000, 0.5000)  10 W 2.77-2.87, 2 Ru 2.86

Entry 4:
LiTc2Os | PBE | optimized geometry

## Properties
E_form: 0.342 eV/atom
symmetry: P4/mmm
excess energy over the best structure of this formula in the dataset: 180 meV per atom

abc: 3.0271 3.0271 5.8202
angles: 90.00 90.00 90.00
With the nearest neighbours (Å) after each atom.
Positions (direct):
Li (0.0000, 0.0000, 0.0000)  8 Tc 2.49
Tc (0.5000, 0.5000, 0.2181)  4 Li 2.49, 1 Tc 2.54, 4 Os 2.70
Tc (0.5000, 0.5000, 0.7819)  4 Li 2.49, 1 Tc 2.54, 4 Os 2.70
Os (0.0000, 0.0000, 0.5000)  8 Tc 2.70, 2 Li 2.91

Entry 5:
Pr2Zn15Ir2 | PBE | optimized geometry

## Properties
E_form: -0.263 eV/atom
symmetry: R-3m

abc: 6.8415 6.8415 6.8415
angles: 82.72 82.72 82.72
With the nearest neighbours (Å) after each atom.
Positions (direct):
Pr (0.1646, 0.1646, 0.1646)  1 Ir 3.04, 12 Zn 3.28-3.30
Pr (0.8354, 0.8354, 0.8354)  1 Ir 3.04, 12 Zn 3.28-3.30
Zn (0.0000, 0.5000, 0.5000)  8 Zn 2.58-2.61, 2 Ir 2.73
Zn (0.1521, 0.1521, 0.6497)  8 Zn 2.61-2.82, 1 Ir 2.78
Zn (0.1521, 0.6497, 0.1521)  8 Zn 2.61-2.82, 1 Ir 2.78
Zn (0.2195, 0.5000, 0.7805)  8 Zn 2.54-2.82
Zn (0.2195, 0.7805, 0.5000)  8 Zn 2.54-2.82
Zn (0.3503, 0.8479, 0.8479)  8 Zn 2.61-2.82, 1 Ir 2.78
Zn (0.5000, 0.0000, 0.5000)  8 Zn 2.58-2.61, 2 Ir 2.73
Zn (0.5000, 0.2195, 0.7805)  8 Zn 2.54-2.82
Zn (0.5000, 0.5000, 0.0000)  8 Zn 2.58-2.61, 2 Ir 2.73
Zn (0.5000, 0.7805, 0.2195)  8 Zn 2.54-2.82
Zn (0.6497, 0.1521, 0.1521)  8 Zn 2.61-2.82, 1 Ir 2.78
Zn (0.7805, 0.2195, 0.5000)  8 Zn 2.54-2.82
Zn (0.7805, 0.5000, 0.2195)  8 Zn 2.54-2.82
Zn (0.8479, 0.3503, 0.8479)  8 Zn 2.61-2.82, 1 Ir 2.78
Zn (0.8479, 0.8479, 0.3503)  8 Zn 2.61-2.82, 1 Ir 2.78
Ir (0.3935, 0.3935, 0.3935)  12 Zn 2.73-2.90, 1 Ir 2.82, 1 Pr 3.04
Ir (0.6065, 0.6065, 0.6065)  12 Zn 2.73-2.90, 1 Ir 2.82, 1 Pr 3.04

Entry 6:
Th4GeRu4 | PBE | optimized geometry

## Properties
E_form: -0.418 eV/atom
symmetry: I4/m

abc: 6.8551 6.8551 6.8551
angles: 98.94 98.94 133.56
With the nearest neighbours (Å) after each atom.
Positions (direct):
Th (0.0865, 0.2998, 0.3863)  4 Ru 2.73-2.97
Th (0.2998, 0.9135, 0.2133)  4 Ru 2.73-2.97
Th (0.7002, 0.0865, 0.7867)  4 Ru 2.73-2.97
Th (0.9135, 0.7002, 0.6137)  4 Ru 2.73-2.97
Ge (0.5000, 0.5000, 0.0000)  4 Ru 2.43
Ru (0.2412, 0.5854, 0.8266)  1 Ge 2.43
Ru (0.4146, 0.2412, 0.6558)  1 Ge 2.43
Ru (0.5854, 0.7588, 0.3442)  1 Ge 2.43
Ru (0.7588, 0.4146, 0.1734)  1 Ge 2.43

Going through the records in order, we get DOS at the Fermi energy values of 1.610 0.707 5.930 3.496 8.875 5.776 states/eV/cell.
Going through the records in order, we get calculated total energy values of -21.43 -18.46 -71.78 -32.51 -51.40 -75.16 eV per formula unit.